Record 1
Density functional theory data (GGA-PBE) for crystalline ScNi2W at its relaxed geometry.

## Properties
- Excess energy over the best structure of this formula in the dataset: 57.1 meV per atom
- Total DFT energy (no corrections): -7.774 eV per atom
- ρ: 9.778 g/cm3
- Crystal system: monoclinic

a b c (Å): 2.7664 3.5060 6.0618
angles (deg): 90.00 90.18 90.00
Space group P2/m (No. 10)
Symmetry-distinct sites (fractional):
Sc: 0.0000 0.0000 0.0000 x1
Ni: 0.5003 0.5000 0.2812 x2
W: 0.0000 0.0000 0.5000 x1

***

Record 2
Density functional theory data (GGA-PBE) for crystalline ZrVMo3 at its relaxed geometry.

## Properties
- Excess energy over the best structure of this formula in the dataset: 0.0 meV per atom
- Total DFT energy (no corrections): -9.131 eV per atom
- ρ: 7.533 g/cm3
- Crystal system: cubic

a b c (Å): 4.5594 4.5594 4.5594
angles (deg): 90.00 90.00 90.00
Space group Pm-3m (No. 221)
Symmetry-distinct sites (fractional):
Zr: 0.0000 0.0000 0.0000 x1
V: 0.5000 0.5000 0.5000 x1
Mo: 0.0000 0.5000 0.5000 x3

***

Record 3
Density functional theory data (GGA-PBE) for crystalline CaZr2Tc at its relaxed geometry.

## Properties
- Excess energy over the best structure of this formula in the dataset: 0.0 meV per atom
- Total DFT energy (no corrections): -7.392 eV per atom
- ρ: 5.410 g/cm3
- Crystal system: tetragonal

a b c (Å): 3.2962 3.2962 9.0546
angles (deg): 90.00 90.00 90.00
Space group P4/mmm (No. 123)
Symmetry-distinct sites (fractional):
Ca: 0.0000 0.0000 0.0000 x1
Zr: 0.5000 0.5000 0.3270 x2
Tc: 0.0000 0.0000 0.5000 x1

***

Record 4
Density functional theory data (GGA-PBE) for crystalline ErCoPd2 at its relaxed geometry.

## Properties
- Total DFT energy (no corrections): -6.027 eV per atom
- ρ: 11.091 g/cm3
- Crystal system: tetragonal

a b c (Å): 4.0841 4.0841 3.9409
angles (deg): 90.00 90.00 90.00
Space group P4/mmm (No. 123)
Symmetry-distinct sites (fractional):
Er: 0.0000 0.0000 0.0000 x1
Co: 0.5000 0.5000 0.0000 x1
Pd: 0.0000 0.5000 0.5000 x2

***

Record 5
Density functional theory data (GGA-PBE) for crystalline RbZrTc at its relaxed geometry.

## Properties
- Excess energy over the best structure of this formula in the dataset: 0.0 meV per atom
- Total DFT energy (no corrections): -6.364 eV per atom
- ρ: 4.576 g/cm3
- Crystal system: monoclinic

a b c (Å): 27.0704 4.3576 3.3805
angles (deg): 90.00 90.20 90.00
Space group Cm (No. 8)
Symmetry-distinct sites (fractional):
Rb: 0.0000 0.0000 0.0000 x2
Rb: 0.1640 0.5000 0.5111 x2
Zr: 0.2825 0.0000 0.9820 x2
Zr: 0.3814 0.0000 0.4850 x2
Tc: 0.2962 0.5000 0.4817 x2
Tc: 0.3677 0.5000 0.9844 x2

***

Record 6
Density functional theory data (GGA-PBE) for crystalline Cs3CePm2Se6 at its relaxed geometry.

## Properties
- Total DFT energy (no corrections): -4.951 eV per atom
- ρ: 5.128 g/cm3
- Energy relative to the elements, uncorrected: -1.71 eV per atom
- Crystal system: monoclinic

a b c (Å): 7.6203 13.1964 8.7663
angles (deg): 90.00 106.85 90.00
Space group C2/m (No. 12)
Symmetry-distinct sites (fractional):
Cs: 0.0000 0.0000 0.0000 x2
Cs: 0.0000 0.3332 0.0000 x4
Ce: 0.0000 0.5000 0.5000 x2
Pm: 0.0000 0.1666 0.5000 x4
Se: 0.2277 0.0000 0.6892 x4
Se: 0.2307 0.3323 0.6891 x8

***

Record 7
Density functional theory data (GGA-PBE) for crystalline Pm4Tm3Cd at its relaxed geometry.

## Properties
- Total DFT energy (no corrections): -4.223 eV per atom
- ρ: 7.967 g/cm3
- Crystal system: tetragonal

a b c (Å): 3.6131 3.6131 19.1470
angles (deg): 90.00 90.00 90.00
Space group P4/mmm (No. 123)
Symmetry-distinct sites (fractional):
Pm: 0.0000 0.0000 0.1114 x2
Pm: 0.0000 0.0000 0.3712 x2
Tm: 0.5000 0.5000 0.2417 x2
Tm: 0.5000 0.5000 0.5000 x1
Cd: 0.5000 0.5000 0.0000 x1

***

Number 1: total magnetization 0.0 μB/cell. Number 2: total magnetization 0.0 μB/cell. Number 3: total magnetization 0.0 μB/cell. Number 4: total magnetization 1.6 μB/cell. Number 5: total magnetization 0.0 μB/cell. Number 6: total magnetization 2.0 μB/cell. Number 7: total magnetization 0.0 μB/cell.